# 1
Ni3Pt8Rh2 | PBE-GGA | relaxed

Formation energy from the elements = 216 meV/atom
SG = No. 2

Cell and atoms, written as CIF:
```
data_Ni3Pt8Rh2
_chemical_formula_sum 'Ni3 Pt8 Rh2'
_space_group_name_H-M_alt 'P 1'
_space_group_IT_number 1
_space_group_name_Hall 'P 1'
_cell_length_a 5.405
_cell_length_b 5.414
_cell_length_c 8.714
_cell_angle_alpha 95.24
_cell_angle_beta 98.30
_cell_angle_gamma 119.68
loop_
_atom_site_label
_atom_site_fract_x
_atom_site_fract_y
_atom_site_fract_z
Ni1 0.000 0.000 0.000
Ni2 0.019 0.778 0.496
Ni3 0.981 0.222 0.504
Pt1 0.217 0.830 0.244
Pt2 0.229 0.338 0.275
Pt3 0.283 0.171 0.749
Pt4 0.283 0.672 0.721
Pt5 0.717 0.328 0.279
Pt6 0.717 0.829 0.251
Pt7 0.771 0.662 0.725
Pt8 0.783 0.170 0.756
Rh1 0.265 0.530 0.999
Rh2 0.735 0.470 0.001
```

# 2
Ni3Pt2Rh3 | PBE-GGA | relaxed

Formation energy from the elements = -20 meV/atom
Energy above the lowest structure with this stoichiometry = 0.00 kcal/mol of atoms
SG = No. 47

Cell and atoms, written as CIF:
```
data_Ni3Pt2Rh3
_chemical_formula_sum 'Ni3 Pt2 Rh3'
_space_group_name_H-M_alt 'P 1'
_space_group_IT_number 1
_space_group_name_Hall 'P 1'
_cell_length_a 3.729
_cell_length_b 3.804
_cell_length_c 7.624
_cell_angle_alpha 90.00
_cell_angle_beta 90.00
_cell_angle_gamma 90.00
loop_
_atom_site_label
_atom_site_fract_x
_atom_site_fract_y
_atom_site_fract_z
Ni1 0.000 0.000 0.000
Ni2 0.000 0.500 0.248
Ni3 0.000 0.500 0.752
Pt1 0.500 0.000 0.245
Pt2 0.500 0.000 0.755
Rh1 0.000 0.000 0.500
Rh2 0.500 0.500 0.000
Rh3 0.500 0.500 0.500
```

# 3
Ni2Pt8Rh3 | PBE-GGA | relaxed

Formation energy from the elements = -29 meV/atom
SG = No. 2

Cell and atoms, written as CIF:
```
data_Ni2Pt8Rh3
_chemical_formula_sum 'Ni2 Pt8 Rh3'
_space_group_name_H-M_alt 'P 1'
_space_group_IT_number 1
_space_group_name_Hall 'P 1'
_cell_length_a 4.767
_cell_length_b 6.166
_cell_length_c 7.281
_cell_angle_alpha 94.81
_cell_angle_beta 109.05
_cell_angle_gamma 105.05
loop_
_atom_site_label
_atom_site_fract_x
_atom_site_fract_y
_atom_site_fract_z
Ni1 0.114 0.228 0.076
Ni2 0.886 0.772 0.924
Pt1 0.043 0.074 0.703
Pt2 0.270 0.543 0.848
Pt3 0.341 0.689 0.227
Pt4 0.427 0.843 0.618
Pt5 0.573 0.157 0.382
Pt6 0.659 0.311 0.773
Pt7 0.730 0.457 0.152
Pt8 0.957 0.926 0.297
Rh1 0.191 0.385 0.459
Rh2 0.500 0.000 0.000
Rh3 0.809 0.615 0.541
```

# 4
Ni3Pt3Rh | PBE-GGA | relaxed

Formation energy from the elements = -37 meV/atom
Energy above the lowest structure with this stoichiometry = 0.00 kcal/mol of atoms
SG = No. 148

Cell and atoms, written as CIF:
```
data_Ni3Pt3Rh
_chemical_formula_sum 'Ni6 Pt6 Rh2'
_space_group_name_H-M_alt 'P 1'
_space_group_IT_number 1
_space_group_name_Hall 'P 1'
_cell_length_a 5.996
_cell_length_b 5.996
_cell_length_c 5.996
_cell_angle_alpha 72.55
_cell_angle_beta 72.55
_cell_angle_gamma 72.55
loop_
_atom_site_label
_atom_site_fract_x
_atom_site_fract_y
_atom_site_fract_z
Ni1 0.186 0.465 0.603
Ni2 0.397 0.814 0.535
Ni3 0.465 0.603 0.186
Ni4 0.535 0.397 0.814
Ni5 0.603 0.186 0.465
Ni6 0.814 0.535 0.397
Pt1 0.046 0.879 0.329
Pt2 0.121 0.671 0.954
Pt3 0.329 0.046 0.879
Pt4 0.671 0.954 0.121
Pt5 0.879 0.329 0.046
Pt6 0.954 0.121 0.671
Rh1 0.257 0.257 0.257
Rh2 0.743 0.743 0.743
```

Number 1: total moment 0.293 μB/atom, total energy -77.56 eV per cell, DOS at the Fermi energy 20.6 states/eV per cell. Number 2: total moment 0.437 μB/atom, total energy -51.64 eV per cell, DOS at the Fermi energy 10.4 states/eV per cell. Number 3: total moment 0.365 μB/atom, total energy -82.32 eV per cell, DOS at the Fermi energy 23.5 states/eV per cell. Number 4: total moment 0.548 μB/atom, total energy -86.15 eV per cell, DOS at the Fermi energy 24.1 states/eV per cell.